# SrTl3Hg3 (PBE, optimized geometry)
data_SrTl3Hg3
_cell_length_a 8.0218
_cell_length_b 8.0218
_cell_length_c 23.0923
_cell_angle_alpha 90.00
_cell_angle_beta 90.00
_cell_angle_gamma 120.00
_space_group_name_H-M_alt 'R -3'
_space_group_IT_number 148
_space_group_name_Hall '-R 3'
loop_
_atom_site_label
_atom_site_type_symbol
_atom_site_fract_x
_atom_site_fract_y
_atom_site_fract_z
Sr1 Sr 0.0000 0.0000 0.1604
Tl1 Tl 0.0481 0.4382 0.3730
Hg1 Hg 0.0120 0.2374 0.5576
# * energy above the most stable polymorph in this dataset: 0.029 eV/atom
# * formation energy from the elements: -0.15 eV per atom

***

# LiAcCuO3 (PBE, optimized geometry)
data_LiAcCuO3
_cell_length_a 5.878
_cell_length_b 3.591
_cell_length_c 7.678
_cell_angle_alpha 90.00
_cell_angle_beta 107.55
_cell_angle_gamma 90.00
_space_group_name_H-M_alt 'P 1 21/m 1'
_space_group_IT_number 11
loop_
_space_group_symop_operation_xyz
'x,y,z'
'-x,-y,-z'
'-x,y+1/2,-z'
'x,-y+1/2,z'
loop_
_atom_site_label
_atom_site_type_symbol
_atom_site_fract_x
_atom_site_fract_y
_atom_site_fract_z
Li1 Li 0.096 0.250 0.424
Ac1 Ac 0.482 0.750 0.753
Cu1 Cu 0.017 0.750 0.157
O1 O 0.174 0.250 0.680
O2 O 0.238 0.750 0.011
O3 O 0.302 0.750 0.385
# * calculated total energy: -73.291 eV/cell

***

# Tb6Sm2Dy3In (PBE, optimized geometry)
data_Tb6Sm2Dy3In
_cell_length_a 6.106
_cell_length_b 10.585
_cell_length_c 11.716
_cell_angle_alpha 90.00
_cell_angle_beta 100.04
_cell_angle_gamma 90.00
_space_group_name_H-M_alt 'C 1 2/m 1'
_space_group_IT_number 12
loop_
_space_group_symop_operation_xyz
'x,y,z'
'-x,-y,-z'
'-x,y,-z'
'x,-y,z'
'x+1/2,y+1/2,z'
'-x+1/2,-y+1/2,-z'
'-x+1/2,y+1/2,-z'
'x+1/2,-y+1/2,z'
loop_
_atom_site_label
_atom_site_type_symbol
_atom_site_fract_x
_atom_site_fract_y
_atom_site_fract_z
Tb1 Tb 0.244 0.000 0.250
Tb2 Tb 0.246 0.164 0.749
Sm1 Sm 0.000 0.334 0.500
Dy1 Dy 0.000 0.167 0.000
Dy2 Dy 0.000 0.500 0.000
In1 In 0.000 0.000 0.500
# * formation energy from the elements: -0.05 eV per atom